(1)
Compound: Hf4ZrZn
Source: Alexandria via LeMat-Bulk
Functional: GGA-PBE
Structure: optimized geometry

The structure belongs to space group P4/mmm (No. 123); the cell edges are 3.202, 3.202 and 12.463 Å and the angles 90.00°, 90.00° and 90.00°. The distinct sites, in fractional coordinates, are Hf at (0.000, 0.000, 0.147), Hf at (0.500, 0.500, 0.317), Zr at (0.000, 0.000, 0.500) and Zn at (0.500, 0.500, 0.000).

The value obtained for the formation energy is -0.054 eV per atom. The value obtained for the size of the total moment is 0.00 μB per formula unit.

=====

(2)
Compound: HfZr4Zn
Source: Alexandria via LeMat-Bulk
Functional: GGA-PBE
Structure: optimized geometry

The structure belongs to space group P4/nbm (No. 125, origin choice 2); the cell edges are 6.495, 6.495 and 6.845 Å and the angles 90.00°, 90.00° and 90.00°. The distinct sites, in fractional coordinates, are Hf at (0.250, 0.750, 0.000), Zr at (0.031, 0.531, 0.269) and Zn at (0.250, 0.250, 0.500).

The value obtained for the formation energy is 0.486 eV per atom. For the relative energy among the computed polymorphs, the calculation gives 545 meV/atom. The value obtained for the size of the total moment is 0.00 μB per formula unit.

=====

(3)
Compound: Hf2Zr3Zn3
Source: Alexandria via LeMat-Bulk
Functional: GGA-PBE
Structure: optimized geometry

The structure belongs to space group Immm (No. 71); the cell edges are 3.275, 4.908 and 19.653 Å and the angles 90.00°, 90.00° and 90.00°. The distinct sites, in fractional coordinates, are Hf at (0.000, 0.000, 0.234), Zr at (0.000, 0.000, 0.000), Zr at (0.000, 0.500, 0.124), Zn at (0.000, 0.000, 0.500) and Zn at (0.000, 0.500, 0.383).

The value obtained for the formation energy is -0.168 eV per atom. The value obtained for the size of the total moment is 0.00 μB per formula unit.

=====

(4)
Compound: HfZrZn
Source: Alexandria via LeMat-Bulk
Functional: GGA-PBE
Structure: optimized geometry

The structure belongs to space group I-4m2 (No. 119); the cell edges are 4.541, 4.541 and 6.406 Å and the angles 90.00°, 90.00° and 90.00°. The distinct sites, in fractional coordinates, are Hf at (0.000, 0.000, 0.000), Zr at (0.000, 0.000, 0.500) and Zn at (0.000, 0.500, 0.750).

The value obtained for the formation energy is 0.235 eV per atom. For the relative energy among the computed polymorphs, the calculation gives 410 meV/atom. The value obtained for the size of the total moment is 0.00 μB per formula unit.

=====

(5)
Compound: HfZrZn3
Source: Alexandria via LeMat-Bulk
Functional: GGA-PBE
Structure: optimized geometry

The structure belongs to space group Pm-3m (No. 221); the cell edges are 4.910, 4.910 and 4.910 Å and the angles 90.00°, 90.00° and 90.00°. The distinct sites, in fractional coordinates, are Hf at (0.000, 0.000, 0.000), Zr at (0.500, 0.500, 0.500) and Zn at (0.000, 0.500, 0.500).

The value obtained for the formation energy is 1.104 eV per atom. For the relative energy among the computed polymorphs, the calculation gives 1342 meV/atom. The value obtained for the size of the total moment is 1.10 μB per formula unit.

=====

(6)
Compound: Hf7Zr12Zn
Source: Alexandria via LeMat-Bulk
Functional: GGA-PBE
Structure: optimized geometry

The structure belongs to space group R-3 (No. 148, hexagonal axes); the cell edges are 10.8530, 10.8530 and 13.4551 Å and the angles 90.00°, 90.00° and 120.00°. The distinct sites, in fractional coordinates, are Hf at (0.0000, 0.0000, 0.0000), Hf at (0.0485, 0.1855, 0.3037), Zr at (0.0299, 0.4413, 0.2082), Zr at (0.0537, 0.5960, 0.5901) and Zn at (0.0000, 0.0000, 0.5000).

The value obtained for the formation energy is 0.186 eV per atom. The value obtained for the size of the total moment is 0.00 μB per formula unit.